Sr2SiPt at its PBEsol-relaxed geometry, computed with SCAN.

The total energy is -32.02 eV/atom. The formation energy without anion corrections comes out at -0.8271 eV per atom.

The structure belongs to space group Amm2 (No. 38); the cell edges are 4.3529, 4.7894 and 10.4622 Å and the angles 90.00°, 90.00° and 90.00°. The asymmetric unit holds Sr at (0.0000, 0.0000, 0.0000), Sr at (0.5000, 0.0000, 0.2941), Si at (0.5000, 0.0000, 0.6051) and Pt at (0.0000, 0.0000, 0.6958).

***

ScCoOs2 at its PBEsol-relaxed geometry, computed with SCAN.

The total energy is -43.65 eV/atom. The calculation puts the formation energy at 4.085 kcal/mol of atoms.

The structure belongs to space group Cmmm (No. 65); the cell edges are 5.3590, 7.6819 and 2.7078 Å and the angles 90.00°, 90.00° and 90.00°. The asymmetric unit holds Sc at (0.0000, 0.0000, 0.0000), Co at (0.0000, 0.5000, 0.0000) and Os at (0.2500, 0.2500, 0.5000).

***

Sc2CrRe at its PBEsol-relaxed geometry, computed with SCAN.

The total energy is -29.28 eV/atom. The calculation puts the formation energy at 4.897 kcal/mol of atoms.

The structure belongs to space group P2/m (No. 10); the cell edges are 2.7876, 4.4224 and 5.3109 Å and the angles 90.00°, 99.99° and 90.00°. The asymmetric unit holds Sc at (0.2494, 0.0000, 0.2500), Cr at (0.5000, 0.5000, 0.0000) and Re at (0.0000, 0.5000, 0.5000).

***

Be2CoSi at its PBEsol-relaxed geometry, computed with SCAN.

The total energy is -9.19 eV/atom. The formation energy without anion corrections comes out at -0.1795 eV per atom.

The structure belongs to space group P4/mmm (No. 123); the cell edges are 2.8448, 2.8448 and 4.6356 Å and the angles 90.00°, 90.00° and 90.00°. The asymmetric unit holds Be at (0.0000, 0.0000, 0.2308), Co at (0.5000, 0.5000, 0.0000) and Si at (0.5000, 0.5000, 0.5000).

***

SiAg2Ru at its PBEsol-relaxed geometry, computed with SCAN.

The total energy is -26.31 eV/atom. The formation energy without anion corrections comes out at 0.5822 eV per atom.

The structure belongs to space group P4/mmm (No. 123); the cell edges are 2.6600, 2.6600 and 8.6629 Å and the angles 90.00°, 90.00° and 90.00°. The asymmetric unit holds Si at (0.0000, 0.0000, 0.0000), Ag at (0.5000, 0.5000, 0.2520) and Ru at (0.0000, 0.0000, 0.5000).

***

TaIrW2 at its PBEsol-relaxed geometry, computed with SCAN.

The total energy is -69.35 eV/atom. The calculation puts the formation energy at -1.858 kcal/mol of atoms.

The structure belongs to space group P4/mmm (No. 123); the cell edges are 3.8493, 3.8493 and 4.2638 Å and the angles 90.00°, 90.00° and 90.00°. The asymmetric unit holds Ta at (0.0000, 0.0000, 0.0000), Ir at (0.5000, 0.5000, 0.0000) and W at (0.0000, 0.5000, 0.5000).